{"formula": "LiLaSmFe", "functional": "PBE", "state": "optimized geometry", "lattice": [[0.000, 3.578, 3.578], [3.578, 0.000, 3.578], [3.578, 3.578, 0.000]], "species": ["Li", "La", "Sm", "Fe"], "frac_coords": [[0.000, 0.000, 0.000], [0.750, 0.750, 0.750], [0.250, 0.250, 0.250], [0.500, 0.500, 0.500]], "delta_e_f_ev_per_atom": 0.168, "spacegroup": "F-43m", "magmom_total_mub_per_fu": 0.8, "crystal_system": "cubic"}